A relaxed structure of ZrCrAgS4. Source: Alexandria, functional PBE-GGA.

```
data_ZrCrAgS4
_chemical_formula_sum 'Zr4 Cr4 Ag4 S16'
_cell_length_a 6.158
_cell_length_b 7.199
_cell_length_c 13.842
_cell_angle_alpha 78.60
_cell_angle_beta 88.63
_cell_angle_gamma 89.93
_space_group_name_H-M_alt 'P 1'
_space_group_IT_number 1
loop_
_space_group_symop_operation_xyz
'x,y,z'
loop_
_atom_site_label
_atom_site_type_symbol
_atom_site_fract_x
_atom_site_fract_y
_atom_site_fract_z
Zr1 Zr 0.000 0.000 0.000
Zr2 Zr 0.014 0.494 0.997
Zr3 Zr 0.204 0.995 0.496
Zr4 Zr 0.700 0.299 0.510
Cr1 Cr 0.205 0.522 0.507
Cr2 Cr 0.519 0.248 0.002
Cr3 Cr 0.522 0.746 0.999
Cr4 Cr 0.703 0.772 0.505
Ag1 Ag 0.036 0.415 0.223
Ag2 Ag 0.179 0.911 0.722
Ag3 Ag 0.358 0.914 0.276
Ag4 Ag 0.585 0.343 0.753
S1 S 0.028 0.785 0.399
S2 S 0.056 0.322 0.402
S3 S 0.205 0.285 0.894
S4 S 0.206 0.789 0.897
S5 S 0.348 0.241 0.613
S6 S 0.363 0.958 0.098
S7 S 0.368 0.462 0.100
S8 S 0.382 0.714 0.607
S9 S 0.528 0.579 0.403
S10 S 0.565 0.058 0.400
S11 S 0.670 0.039 0.896
S12 S 0.672 0.533 0.896
S13 S 0.832 0.706 0.108
S14 S 0.833 0.205 0.111
S15 S 0.852 0.976 0.607
S16 S 0.878 0.506 0.611
```

The calculation puts the total moment at 0.4283 μB per atom. The calculation puts the formation energy from raw total energies at -0.899 eV/atom. The excess energy over the best structure of this formula in the dataset is 15 meV per atom.

---

A relaxed structure of LaSc2Cr. Source: Alexandria, functional PBE-GGA.

```
data_LaSc2Cr
_chemical_formula_sum 'La4 Sc8 Cr4'
_cell_length_a 7.304
_cell_length_b 7.304
_cell_length_c 7.304
_cell_angle_alpha 90.00
_cell_angle_beta 90.00
_cell_angle_gamma 90.00
_space_group_name_H-M_alt 'F -4 3 m'
_space_group_IT_number 216
_space_group_name_Hall 'F -4 2 3'
loop_
_atom_site_label
_atom_site_type_symbol
_atom_site_fract_x
_atom_site_fract_y
_atom_site_fract_z
La1 La 0.000 0.000 0.000
Sc1 Sc 0.000 0.000 0.500
Sc2 Sc 0.250 0.250 0.750
Cr1 Cr 0.250 0.250 0.250
```

Its formation energy from the elements is 0.277 eV/atom. The calculation puts the total moment at 0.5881 μB per atom. The excess energy over the best structure of this formula in the dataset is 96 meV per atom.

---

A relaxed structure of La6P2AuCl3. Source: Alexandria, functional PBE-GGA.

```
data_La6P2AuCl3
_chemical_formula_sum 'La12 P4 Au2 Cl6'
_cell_length_a 18.568
_cell_length_b 4.253
_cell_length_c 8.532
_cell_angle_alpha 90.00
_cell_angle_beta 101.78
_cell_angle_gamma 90.00
_space_group_name_H-M_alt 'C 1 2/m 1'
_space_group_IT_number 12
loop_
_space_group_symop_operation_xyz
'x,y,z'
'-x,-y,-z'
'-x,y,-z'
'x,-y,z'
'x+1/2,y+1/2,z'
'-x+1/2,-y+1/2,-z'
'-x+1/2,y+1/2,-z'
'x+1/2,-y+1/2,z'
loop_
_atom_site_label
_atom_site_type_symbol
_atom_site_fract_x
_atom_site_fract_y
_atom_site_fract_z
La1 La 0.008 0.000 0.249
La2 La 0.171 0.500 0.099
La3 La 0.172 0.500 0.571
P1 P 0.169 0.000 0.334
Au1 Au 0.000 0.500 0.000
Cl1 Cl 0.000 0.500 0.500
Cl2 Cl 0.162 0.000 0.828
```

The calculation puts the total moment at 0.0000 μB per atom. The calculation puts the formation energy from raw total energies at -1.513 eV/atom.

---

A relaxed structure of KMg2Pt. Source: Alexandria, functional PBE-GGA.

```
data_KMg2Pt
_chemical_formula_sum 'K2 Mg4 Pt2'
_cell_length_a 7.836
_cell_length_b 4.523
_cell_length_c 7.023
_cell_angle_alpha 90.00
_cell_angle_beta 112.07
_cell_angle_gamma 90.00
_space_group_name_H-M_alt 'C 1 2/m 1'
_space_group_IT_number 12
loop_
_space_group_symop_operation_xyz
'x,y,z'
'-x,-y,-z'
'-x,y,-z'
'x,-y,z'
'x+1/2,y+1/2,z'
'-x+1/2,-y+1/2,-z'
'-x+1/2,y+1/2,-z'
'x+1/2,-y+1/2,z'
loop_
_atom_site_label
_atom_site_type_symbol
_atom_site_fract_x
_atom_site_fract_y
_atom_site_fract_z
K1 K 0.000 0.000 0.000
Mg1 Mg 0.201 0.000 0.601
Pt1 Pt 0.000 0.500 0.500
```

Its formation energy from the elements is -0.313 eV/atom. The calculation puts the total moment at 0.0000 μB per atom. The excess energy over the best structure of this formula in the dataset is 0 meV per atom.